VASP calculation (PBE) on a geometry-optimized La4ZnSI2 structure.

Values from the calculation:
theoretical density: 5973 kg/m³
energy relative to the elements, uncorrected: -1127 meV/atom

Cell: 7.419 4.240 8.398 Å, 90.00 107.36 90.00°
Positions (direct):
La1 0.219 0.000 0.200
La2 0.251 0.500 0.792
La3 0.749 0.500 0.208
La4 0.781 0.000 0.800
Zn1 0.500 0.000 0.000
S1 0.000 0.500 0.000
I1 0.000 0.000 0.500
I2 0.500 0.500 0.500

***

VASP calculation (PBE) on a geometry-optimized BaICl2 structure.

Values from the calculation:
energy above the lowest structure with this stoichiometry: 90 meV per atom
theoretical density: 3518 kg/m³
energy relative to the elements, uncorrected: -1473 meV/atom

Cell: 9.163 9.163 7.536 Å, 90.00 90.00 90.00°
Positions (direct):
Ba1 0.000 0.000 0.000
Ba2 0.000 0.500 0.250
Ba3 0.500 0.000 0.750
Ba4 0.500 0.500 0.500
I1 0.000 0.000 0.500
I2 0.000 0.500 0.750
I3 0.500 0.000 0.250
I4 0.500 0.500 0.000
Cl1 0.190 0.250 0.125
Cl2 0.250 0.690 0.375
Cl3 0.250 0.810 0.875
Cl4 0.310 0.250 0.625
Cl5 0.690 0.750 0.625
Cl6 0.750 0.190 0.875
Cl7 0.750 0.310 0.375
Cl8 0.810 0.750 0.125

***

> Which value of energy relative to the elements, uncorrected does entry 2 give?

-1473 meV/atom